The following is a PBE-GGA calculation of a relaxed Y3BeV crystal, from Alexandria via LeMat-Bulk.

a b c (Å): 5.1908 5.1908 5.1908
angles (deg): 90.00 90.00 90.00
Fractional positions:
1 Y 0.0000 0.0000 0.5000
2 Y 0.0000 0.5000 0.0000
3 Y 0.5000 0.0000 0.0000
4 Be 0.0000 0.0000 0.0000
5 V 0.5000 0.5000 0.5000

## Properties
**Energy of formation from the pure elements**: 632 meV per atom
**Space-group type**: No. 221
**V**: 139.86 Å³ per cell

***

The following is a PBE-GGA calculation of a relaxed Os2Br crystal, from Alexandria via LeMat-Bulk.

a b c (Å): 4.3413 4.3413 5.7935
angles (deg): 90.00 90.00 120.00
Fractional positions:
1 Os 0.0000 0.0000 0.0000
2 Os 0.0000 0.0000 0.5000
3 Os 0.3333 0.6667 0.2500
4 Os 0.6667 0.3333 0.7500
5 Br 0.3333 0.6667 0.7500
6 Br 0.6667 0.3333 0.2500

## Properties
**Space-group type**: No. 194
**Raw formation energy**: 1.817 eV/atom
**V**: 94.56 Å³ per cell

***

The following is a PBE-GGA calculation of a relaxed YAg2Sb crystal, from Alexandria via LeMat-Bulk.

a b c (Å): 3.6493 3.6493 26.1454
angles (deg): 90.00 90.00 120.00
Fractional positions:
1 Y 0.0000 0.0000 0.0000
2 Y 0.3333 0.6667 0.6667
3 Y 0.6667 0.3333 0.3333
4 Ag 0.0000 0.0000 0.2482
5 Ag 0.0000 0.0000 0.7518
6 Ag 0.3333 0.6667 0.4184
7 Ag 0.3333 0.6667 0.9149
8 Ag 0.6667 0.3333 0.0851
9 Ag 0.6667 0.3333 0.5816
10 Sb 0.0000 0.0000 0.5000
11 Sb 0.3333 0.6667 0.1667
12 Sb 0.6667 0.3333 0.8333

## Properties
**Space-group type**: No. 166
**Raw formation energy**: 0.036 eV/atom
**V**: 301.53 Å³ per cell